[1]
Fe2WSe | Alexandria via LeMat-Bulk | PBE-GGA | optimized geometry; theoretical density = 11.835 g cm⁻³; formation energy (no corrections) = 0.56 eV/atom
1.0
-4.495 -0.150 0.824
-1.519 -4.236 -0.814
3.493 1.533 2.522
Fe Se W
2 1 1
direct
0.000 0.000 0.000
0.500 0.500 0.000
0.250 0.750 0.500
0.750 0.250 0.500

[2]
K2AlRh | Alexandria via LeMat-Bulk | PBE-GGA | optimized geometry; formation energy = 0.538 eV/atom; theoretical density = 3.648 g cm⁻³
1.0
6.298 0.006 0.000
3.600 5.168 0.000
-4.949 -2.587 2.912
K Rh Al
2 1 1
direct
0.000 0.000 0.000
0.500 0.500 0.000
0.250 0.750 0.500
0.750 0.250 0.500

[3]
TbHoBeHg | Alexandria via LeMat-Bulk | PBE-GGA | optimized geometry; formation energy = -0.119 eV/atom; theoretical density = 9.478 g cm⁻³
1.0
5.094 0.000 0.000
2.547 4.411 0.000
2.547 1.470 4.159
Be Tb Hg Ho
1 1 1 1
direct
0.000 0.000 0.000
0.250 0.250 0.250
0.500 0.500 0.500
0.750 0.750 0.750

[4]
K5Mg | Alexandria via LeMat-Bulk | PBE-GGA | optimized geometry; energy above the lowest structure with this stoichiometry = 0.000 eV/f.u.; formation energy = 0.088 eV/atom; theoretical density = 0.986 g cm⁻³
1.0
-4.226 1.523 -0.115
-1.511 -4.118 0.977
0.922 3.906 17.894
K Mg
5 1
direct
0.000 0.000 0.622
0.500 0.500 0.809
0.000 0.000 0.000
0.500 0.500 0.191
0.000 0.000 0.378
0.500 0.500 0.500

[5]
BaZr2Rh | Alexandria via LeMat-Bulk | PBE-GGA | optimized geometry; energy above the lowest structure with this stoichiometry = 0.000 eV/f.u.; formation energy = -0.095 eV/atom; theoretical density = 6.771 g cm⁻³
1.0
3.411 0.000 0.000
0.000 3.411 0.000
0.000 0.000 8.907
Ba Rh Zr
1 1 2
direct
0.000 0.000 0.541
0.500 0.500 0.813
0.000 0.000 0.960
0.500 0.500 0.186

[6]
PmY2Tm7 | Alexandria via LeMat-Bulk | PBE-GGA | optimized geometry; energy above the lowest structure with this stoichiometry = 0.000 eV/f.u.; formation energy = 0.027 eV/atom; theoretical density = 8.113 g cm⁻³
1.0
5.409 -2.172 1.759
-4.105 7.781 -5.814
2.688 -1.733 10.641
Pm Y Tm
1 2 7
direct
0.000 0.000 0.000
0.404 0.602 0.401
0.596 0.398 0.599
0.102 0.901 0.600
0.898 0.099 0.400
0.299 0.700 0.801
0.701 0.300 0.199
0.200 0.799 0.199
0.800 0.201 0.801
0.500 0.500 0.000

[7]
CsYC | Alexandria via LeMat-Bulk | PBE-GGA | optimized geometry; energy above the lowest structure with this stoichiometry = 1.494 eV/f.u.; formation energy = 0.547 eV/atom; theoretical density = 3.316 g cm⁻³
1.0
-6.901 -3.346 -0.291
1.149 -2.091 -3.209
5.035 -11.176 9.088
Cs Y C
4 4 4
direct
0.914 0.250 0.383
0.586 0.750 0.883
0.086 0.750 0.617
0.414 0.250 0.117
0.081 0.250 0.923
0.419 0.750 0.423
0.919 0.750 0.077
0.581 0.250 0.577
0.331 0.250 0.489
0.169 0.750 0.989
0.669 0.750 0.511
0.831 0.250 0.011

[8]
Cd2TcAu | Alexandria via LeMat-Bulk | PBE-GGA | optimized geometry; energy above the lowest structure with this stoichiometry = 0.176 eV/f.u.; formation energy = 0.270 eV/atom; theoretical density = 11.722 g cm⁻³
1.0
-1.229 2.085 1.584
-1.966 0.419 -2.080
-5.261 -5.964 3.770
Au Cd Tc
1 2 1
direct
0.500 0.500 0.733
0.000 0.000 0.988
0.500 0.500 0.270
0.000 0.000 0.509

[9]
InPd12Pb3 | Alexandria via LeMat-Bulk | PBE-GGA | optimized geometry; formation energy = -0.323 eV/atom; theoretical density = 12.198 g cm⁻³
1.0
4.087 0.000 0.000
0.000 4.087 0.000
0.000 0.000 16.413
In Pd Pb
1 12 3
direct
0.000 0.000 0.000
0.500 0.500 0.000
0.500 0.500 0.249
0.500 0.500 0.500
0.500 0.500 0.751
0.500 0.000 0.121
0.500 0.000 0.374
0.500 0.000 0.626
0.500 0.000 0.879
0.000 0.500 0.121
0.000 0.500 0.374
0.000 0.500 0.626
0.000 0.500 0.879
0.000 0.000 0.246
0.000 0.000 0.500
0.000 0.000 0.754

[10]
RbZrCoNi2 | Alexandria via LeMat-Bulk | PBE-GGA | optimized geometry; formation energy = 1.763 eV/atom; theoretical density = 4.517 g cm⁻³
1.0
4.696 0.000 0.000
0.000 5.886 0.000
0.000 0.000 4.696
Ni Co Rb Zr
2 1 1 1
direct
0.000 0.000 0.500
0.500 0.000 0.000
0.500 0.500 0.500
0.000 0.500 0.000
0.000 0.000 0.000

[11]
PtAuO2F | Alexandria via LeMat-Bulk | PBE-GGA | optimized geometry; theoretical density = 10.290 g cm⁻³; formation energy (no corrections) = 0.70 eV/atom
1.0
4.142 0.000 0.000
0.000 4.142 0.000
0.000 0.000 4.169
Au O Pt F
1 2 1 1
direct
0.000 0.000 0.000
0.000 0.500 0.000
0.500 0.000 0.000
0.500 0.500 0.500
0.000 0.000 0.500

[12]
LiSb2Rh4 | Alexandria via LeMat-Bulk | PBE-GGA | optimized geometry; energy above the lowest structure with this stoichiometry = 0.000 eV/f.u.; theoretical density = 9.617 g cm⁻³; formation energy (no corrections) = -0.50 eV/atom
1.0
4.127 0.000 1.289
1.862 3.683 1.289
-0.075 -0.046 7.489
Li Sb Rh
1 2 4
direct
0.000 0.000 0.000
0.751 0.751 0.746
0.249 0.249 0.254
0.875 0.875 0.375
0.125 0.125 0.625
0.625 0.625 0.125
0.375 0.375 0.875

[13]
PrY2AlC | Alexandria via LeMat-Bulk | PBE-GGA | optimized geometry; formation energy = -0.313 eV/atom; theoretical density = 4.796 g cm⁻³
1.0
5.140 0.000 0.000
0.000 4.909 0.000
0.000 0.000 4.909
Pr Y Al C
1 2 1 1
direct
0.500 0.000 0.000
0.000 0.000 0.500
0.000 0.500 0.000
0.500 0.500 0.500
0.000 0.000 0.000

[14]
LaTmPuTl | Alexandria via LeMat-Bulk | PBE-GGA | optimized geometry; formation energy = 0.055 eV/atom; theoretical density = 10.452 g cm⁻³
1.0
5.539 0.000 0.000
2.769 4.797 0.000
2.769 1.599 4.522
Tl Tm La Pu
1 1 1 1
direct
0.500 0.500 0.500
0.000 0.000 0.000
0.250 0.250 0.250
0.750 0.750 0.750

[15]
SrCoRu | Alexandria via LeMat-Bulk | PBE-GGA | optimized geometry; energy above the lowest structure with this stoichiometry = 1.961 eV/f.u.; formation energy = 0.890 eV/atom; theoretical density = 6.417 g cm⁻³
1.0
-2.993 -0.365 3.329
1.151 -2.020 3.843
0.503 2.423 3.748
Co Ru Sr
1 1 1
direct
0.750 0.750 0.750
0.000 0.000 0.000
0.500 0.500 0.500

[16]
SmDy4Al4 | Alexandria via LeMat-Bulk | PBE-GGA | optimized geometry; formation energy = -0.149 eV/atom; theoretical density = 6.642 g cm⁻³
1.0
-0.592 -3.738 -4.387
4.939 -5.910 4.368
-7.293 -3.293 3.790
Sm Dy Al
2 8 8
direct
0.000 0.000 0.000
0.500 0.500 0.500
0.392 0.426 0.835
0.892 0.665 0.926
0.392 0.574 0.165
0.108 0.074 0.665
0.608 0.835 0.574
0.108 0.926 0.335
0.892 0.335 0.074
0.608 0.165 0.426
0.590 0.905 0.196
0.590 0.095 0.804
0.090 0.696 0.595
0.910 0.405 0.696
0.910 0.595 0.304
0.410 0.196 0.095
0.410 0.804 0.905
0.090 0.304 0.405

[17]
CsPdF4 | Alexandria via LeMat-Bulk | PBE-GGA | optimized geometry; theoretical density = 4.572 g cm⁻³; formation energy (no corrections) = -1.84 eV/atom
1.0
-1.621 4.096 0.375
-5.327 -2.346 2.596
4.132 -1.411 7.205
Cs Pd F
2 2 8
direct
0.847 0.806 0.695
0.153 0.306 0.305
0.577 0.770 0.153
0.423 0.270 0.847
0.925 0.270 0.851
0.075 0.770 0.149
0.476 0.964 0.951
0.524 0.464 0.049
0.678 0.606 0.356
0.322 0.106 0.644
0.646 0.018 0.291
0.354 0.518 0.709

[18]
Tb6Sm2TmTh | Alexandria via LeMat-Bulk | PBE-GGA | optimized geometry; formation energy = 0.150 eV/atom; theoretical density = 8.446 g cm⁻³
1.0
9.196 -2.141 -2.221
0.792 8.476 -1.937
0.792 -2.250 8.398
Tb Sm Tm Th
12 4 2 2
direct
0.057 0.118 0.748
0.443 0.252 0.882
0.943 0.882 0.252
0.557 0.748 0.118
0.314 0.983 0.425
0.186 0.575 0.017
0.686 0.017 0.575
0.814 0.425 0.983
0.119 0.704 0.492
0.381 0.508 0.296
0.881 0.296 0.508
0.619 0.492 0.704
0.453 0.802 0.706
0.047 0.294 0.198
0.547 0.198 0.294
0.953 0.706 0.802
0.250 0.406 0.594
0.750 0.594 0.406
0.250 0.978 0.022
0.750 0.022 0.978

[19]
LiCaEr2Te4 | Alexandria via LeMat-Bulk | PBE-GGA | optimized geometry; theoretical density = 6.301 g cm⁻³; formation energy (no corrections) = -1.36 eV/atom
1.0
-0.008 -3.715 -2.236
-2.489 -3.640 6.057
-5.995 2.463 -4.071
Li Ca Er Te
1 1 2 4
direct
0.500 0.500 0.000
0.000 0.000 0.000
0.500 0.000 0.500
0.000 0.500 0.500
0.500 0.258 0.253
0.500 0.742 0.747
0.000 0.255 0.749
0.000 0.745 0.251

[20]
Re2SbIrPt | Alexandria via LeMat-Bulk | PBE-GGA | optimized geometry; theoretical density = 13.189 g cm⁻³; formation energy (no corrections) = 1.73 eV/atom
1.0
-4.365 1.285 1.219
-1.630 -4.183 -1.428
0.735 -1.852 4.586
Re Ir Pt Sb
2 1 1 1
direct
0.000 0.500 0.000
0.500 0.000 0.000
0.000 0.000 0.000
0.000 0.000 0.500
0.500 0.500 0.500